VASP calculation (PBE+U) on an optimized crystal structure of K2MoIr3O12.

The structure in POSCAR format:
```
K2MoIr3O12
1.0
7.2979 0.0970 0.0688
3.6885 6.2979 0.0688
3.6885 2.1470 5.9211
O Ir K Mo
12 3 2 1
direct
0.0753 0.6798 0.6798
0.6824 0.0680 0.0680
0.9320 0.9320 0.3176
0.6798 0.6798 0.0753
0.9247 0.3202 0.3202
0.6798 0.0753 0.6798
0.0680 0.6824 0.0680
0.3202 0.3202 0.9247
0.9320 0.3176 0.9320
0.3176 0.9320 0.9320
0.3202 0.9247 0.3202
0.0680 0.0680 0.6824
0.0000 0.5000 0.0000
0.5000 0.0000 0.0000
0.0000 0.0000 0.5000
0.6225 0.6225 0.6225
0.3775 0.3775 0.3775
0.0000 0.0000 0.0000
```

- E: -6.380 eV per atom
- M_tot: 0.07 μB/atom